# 1
Entry from Alexandria via LeMat-Bulk: crystalline BaHg3Br at its relaxed geometry (PBE-GGA).

SG ... Pm-3m, No. 221
Raw formation energy ... -0.10 eV per atom
Distance to the lowest polymorph of the same formula ... 7 meV per atom

Lattice parameters (Å, degrees): 6.108 6.108 6.108 90.00 90.00 90.00
Fractional positions:
Hg (0.000, 0.000, 0.500)
Ba (0.500, 0.500, 0.500)
Hg (0.000, 0.500, 0.000)
Hg (0.500, 0.000, 0.000)
Br (0.000, 0.000, 0.000)

***

# 2
Entry from Alexandria via LeMat-Bulk: crystalline Pm2SmReN4 at its relaxed geometry (PBE-GGA).

SG ... Cmcm, No. 63
Raw formation energy ... -0.90 eV per atom

Lattice parameters (Å, degrees): 3.502 6.233 11.991 90.00 90.00 106.32
Fractional positions:
N (0.566, 0.132, 0.250)
Sm (0.123, 0.247, 0.750)
Pm (0.632, 0.264, 0.039)
N (0.000, 0.000, 0.000)
Pm (0.368, 0.736, 0.539)
N (0.268, 0.536, 0.364)
N (0.000, 0.000, 0.500)
N (0.732, 0.464, 0.864)
N (0.434, 0.868, 0.750)
Sm (0.877, 0.753, 0.250)
Re (0.855, 0.710, 0.750)
Pm (0.632, 0.264, 0.461)
N (0.732, 0.464, 0.636)
Pm (0.368, 0.736, 0.961)
N (0.268, 0.536, 0.136)
Re (0.145, 0.290, 0.250)

***

# 3
Entry from Alexandria via LeMat-Bulk: crystalline RbNaMg2Tl at its relaxed geometry (PBE-GGA).

SG ... P4/mmm, No. 123
Distance to the lowest polymorph of the same formula ... 377 meV per atom

Lattice parameters (Å, degrees): 5.800 6.346 5.800 90.00 90.00 90.00
Fractional positions:
Rb (0.000, 0.500, 0.000)
Mg (0.500, 0.000, 0.000)
Tl (0.500, 0.500, 0.500)
Na (0.000, 0.000, 0.000)
Mg (0.000, 0.000, 0.500)

***

# 4
Entry from Alexandria via LeMat-Bulk: crystalline Sr3HgRh at its relaxed geometry (PBE-GGA).

SG ... P2_1/c, No. 14
Distance to the lowest polymorph of the same formula ... 0 meV per atom

Lattice parameters (Å, degrees): 7.854 9.163 9.639 101.70 90.00 90.00
Fractional positions:
Sr (0.982, 0.208, 0.541)
Sr (0.149, 0.573, 0.760)
Rh (0.661, 0.021, 0.562)
Hg (0.545, 0.212, 0.072)
Sr (0.312, 0.541, 0.161)
Sr (0.018, 0.792, 0.459)
Rh (0.339, 0.979, 0.438)
Rh (0.161, 0.479, 0.438)
Sr (0.649, 0.927, 0.240)
Sr (0.518, 0.708, 0.541)
Sr (0.482, 0.292, 0.459)
Sr (0.351, 0.073, 0.760)
Hg (0.455, 0.788, 0.928)
Hg (0.045, 0.288, 0.928)
Sr (0.812, 0.959, 0.839)
Sr (0.851, 0.427, 0.240)
Hg (0.955, 0.712, 0.072)
Sr (0.688, 0.459, 0.839)
Rh (0.839, 0.521, 0.562)
Sr (0.188, 0.041, 0.161)

***

# 5
Entry from Alexandria via LeMat-Bulk: crystalline NaSr3CeP3O13 at its relaxed geometry (PBE-GGA).

SG ... P-3, No. 147
Raw formation energy ... -2.78 eV per atom

Lattice parameters (Å, degrees): 9.744 9.744 7.160 90.00 90.00 120.00
Last column: magnetic moment on the atom in μB.
Fractional positions:
O (0.740, 0.046, 0.899)  0.00
Sr (0.230, 0.983, 0.753)  0.00
P (0.031, 0.407, 0.256)  0.00
O (0.722, 0.108, 0.561)  0.00
Sr (0.770, 0.017, 0.247)  0.00
O (0.541, 0.129, 0.782)  0.00
O (0.589, 0.459, 0.782)  0.00
Na (0.333, 0.667, 0.975)  0.00
Sr (0.247, 0.230, 0.247)  0.00
O (0.260, 0.954, 0.101)  0.00
Sr (0.017, 0.247, 0.753)  0.00
O (0.411, 0.541, 0.218)  0.00
O (0.500, 0.852, 0.715)  0.00
O (0.129, 0.589, 0.218)  0.00
Sr (0.983, 0.753, 0.247)  0.00
P (0.407, 0.376, 0.744)  0.00
O (0.892, 0.614, 0.561)  0.00
O (0.306, 0.260, 0.899)  0.00
O (0.000, 0.000, 0.323)  0.39
O (0.459, 0.871, 0.218)  0.00
P (0.969, 0.593, 0.744)  0.00
O (0.386, 0.278, 0.561)  0.00
O (0.000, 0.000, 0.677)  0.39
Sr (0.753, 0.770, 0.753)  0.00
P (0.624, 0.031, 0.744)  0.00
O (0.500, 0.148, 0.285)  0.00
O (0.871, 0.411, 0.782)  0.00
P (0.376, 0.969, 0.256)  0.00
O (0.278, 0.892, 0.439)  0.00
O (0.046, 0.306, 0.101)  0.00
O (0.954, 0.694, 0.899)  0.00
O (0.614, 0.722, 0.439)  0.00
O (0.148, 0.648, 0.715)  0.00
P (0.593, 0.624, 0.256)  0.00
O (0.648, 0.500, 0.285)  0.00
Na (0.667, 0.333, 0.025)  0.00
Ce (0.333, 0.667, 0.476)  0.52
O (0.352, 0.500, 0.715)  0.00
Ce (0.667, 0.333, 0.524)  0.52
O (0.108, 0.386, 0.439)  0.00
O (0.694, 0.740, 0.101)  0.00
O (0.852, 0.352, 0.285)  0.00

***

# 6
Entry from Alexandria via LeMat-Bulk: crystalline Sm8GeSe3S3 at its relaxed geometry (PBE-GGA).

SG ... R-3m, No. 166
Raw formation energy ... -1.69 eV per atom

Lattice parameters (Å, degrees): 8.156 8.156 8.236 119.68 90.00 120.00
Fractional positions:
Sm (0.752, 0.011, 0.263)
Sm (0.248, 0.496, 0.737)
S (0.500, 0.000, 0.500)
Se (0.000, 0.500, 0.000)
S (0.000, 0.500, 0.500)
Sm (0.752, 0.504, 0.263)
Sm (0.257, 0.514, 0.271)
S (0.500, 0.500, 0.500)
Sm (0.248, 0.989, 0.737)
Sm (0.259, 0.011, 0.263)
Se (0.500, 0.500, 0.000)
Ge (0.000, 0.000, 0.500)
Sm (0.743, 0.486, 0.729)
Sm (0.741, 0.989, 0.737)
Se (0.000, 0.000, 0.000)

***

# 7
Entry from Alexandria via LeMat-Bulk: crystalline Tb3PuRu3 at its relaxed geometry (PBE-GGA).

SG ... C2/m, No. 12
E ... -115.159 eV for the cell shown

Lattice parameters (Å, degrees): 6.942 6.942 6.656 84.11 84.11 83.47
Last column: magnetic moment on the atom in μB.
Fractional positions:
Tb (0.810, 0.190, 0.500)  0.07
Ru (0.499, 0.008, 0.235)  -0.34
Tb (0.298, 0.702, 0.000)  0.08
Pu (0.796, 0.796, 0.926)  4.45
Ru (0.008, 0.499, 0.235)  -0.34
Tb (0.310, 0.310, 0.519)  0.06
Tb (0.190, 0.810, 0.500)  0.07
Ru (0.932, 0.932, 0.201)  -0.39
Ru (0.068, 0.068, 0.799)  -0.39
Ru (0.992, 0.501, 0.765)  -0.34
Tb (0.690, 0.690, 0.481)  0.06
Tb (0.702, 0.298, 0.000)  0.08
Ru (0.501, 0.992, 0.765)  -0.34
Pu (0.204, 0.204, 0.074)  4.45

***

# 8
Entry from Alexandria via LeMat-Bulk: crystalline NdSm3Fe at its relaxed geometry (PBE-GGA).

SG ... Pm-3m, No. 221
E ... -26.518 eV for the cell shown

Lattice parameters (Å, degrees): 5.381 5.381 5.381 90.00 90.00 90.00
Last column: magnetic moment on the atom in μB.
Fractional positions:
Fe (0.000, 0.000, 0.000)  -0.01
Sm (0.500, 0.000, 0.000)  0.07
Sm (0.000, 0.000, 0.500)  0.07
Nd (0.500, 0.500, 0.500)  0.20
Sm (0.000, 0.500, 0.000)  0.07